Entry 1:
{
  "formula": "Ac2Cd12Ag3Au",
  "functional": "GGA-PBE",
  "state": "relaxed",
  "cell": [[13.283, 4.127, 2.927], [10.148, 9.512, 2.927], [10.148, 5.907, 8.009]],
  "species": ["Ag", "Ag", "Ag", "Cd", "Cd", "Cd", "Cd", "Cd", "Cd", "Cd", "Cd", "Cd", "Cd", "Cd", "Cd", "Ac", "Ac", "Au"],
  "frac_coords": [[0.500, 0.000, 0.000], [0.000, 0.000, 0.500], [0.000, 0.500, 0.000], [0.604, 0.604, 0.132], [0.889, 0.889, 0.390], [0.396, 0.868, 0.396], [0.604, 0.132, 0.604], [0.868, 0.396, 0.396], [0.132, 0.604, 0.604], [0.390, 0.889, 0.889], [0.889, 0.390, 0.889], [0.111, 0.610, 0.111], [0.396, 0.396, 0.868], [0.111, 0.111, 0.610], [0.610, 0.111, 0.111], [0.355, 0.355, 0.355], [0.645, 0.645, 0.645], [0.000, 0.000, 0.000]],
  "space_group": "R-3m",
  "formation_enthalpy_0k_ev_per_atom": -0.0534
}


Entry 2:
{
  "formula": "PmTm2Zn2",
  "functional": "GGA-PBE",
  "state": "relaxed",
  "cell": [[4.490, 0.000, 0.000], [0.000, 4.480, -0.129], [0.000, -1.355, 12.670]],
  "species": ["Tm", "Tm", "Tm", "Tm", "Zn", "Zn", "Zn", "Zn", "Pm", "Pm"],
  "frac_coords": [[0.750, 0.065, 0.110], [0.250, 0.935, 0.890], [0.250, 0.258, 0.518], [0.750, 0.742, 0.482], [0.750, 0.186, 0.341], [0.750, 0.503, 0.954], [0.250, 0.497, 0.046], [0.250, 0.814, 0.659], [0.250, 0.656, 0.275], [0.750, 0.344, 0.725]],
  "space_group": "P2_1/m",
  "formation_enthalpy_0k_ev_per_atom": -0.1585,
  "relative_energy_ev_per_atom": 0.100
}


Entry 3:
{
  "formula": "CaIn2Ir2",
  "functional": "GGA-PBE",
  "state": "relaxed",
  "cell": [[-2.456, -2.826, 7.062], [2.563, -7.294, -2.027], [2.740, 0.628, 1.204]],
  "species": ["In", "In", "In", "In", "Ca", "Ca", "Ir", "Ir", "Ir", "Ir"],
  "frac_coords": [[0.868, 0.632, 0.000], [0.132, 0.368, 0.000], [0.368, 0.868, 0.000], [0.632, 0.132, 0.000], [0.000, 0.000, 0.000], [0.500, 0.500, 0.000], [0.834, 0.334, 0.500], [0.166, 0.666, 0.500], [0.334, 0.166, 0.500], [0.666, 0.834, 0.500]],
  "space_group": "P4/mbm",
  "formation_enthalpy_0k_ev_per_atom": -0.2603
}


Entry 4:
{
  "formula": "Ca3TcSe",
  "functional": "GGA-PBE",
  "state": "relaxed",
  "cell": [[-4.115, -3.551, -0.766], [1.108, -0.125, -5.374], [3.459, -4.184, 0.811]],
  "species": ["Ca", "Ca", "Ca", "Tc", "Se"],
  "frac_coords": [[0.500, 0.000, 0.000], [0.000, 0.500, 0.000], [0.000, 0.000, 0.500], [0.500, 0.500, 0.500], [0.000, 0.000, 0.000]],
  "space_group": "Pm-3m",
  "raw_formation_energy_ev_per_atom": 0.11
}


Entry 5:
{
  "formula": "Y2MnGe4Ir3",
  "functional": "GGA-PBE",
  "state": "relaxed",
  "cell": [[-1.813, 3.115, 2.022], [-0.668, -2.487, 3.232], [9.348, 2.791, 4.080]],
  "species": ["Ir", "Ir", "Ir", "Ge", "Ge", "Ge", "Ge", "Y", "Y", "Mn"],
  "frac_coords": [[0.000, 0.000, 0.500], [0.500, 0.000, 0.869], [0.000, 0.500, 0.131], [0.000, 0.000, 0.000], [0.000, 0.500, 0.364], [0.500, 0.000, 0.636], [0.500, 0.500, 0.000], [0.500, 0.000, 0.251], [0.000, 0.500, 0.749], [0.500, 0.500, 0.500]],
  "space_group": "P-4m2",
  "formation_enthalpy_0k_ev_per_atom": -0.6669
}


Entry 6:
{
  "formula": "Ce5HIr2",
  "functional": "GGA-PBE",
  "state": "relaxed",
  "cell": [[6.643, -0.176, -0.027], [-0.178, 6.642, -0.011], [-3.224, -3.233, 4.043]],
  "species": ["H", "Ce", "Ce", "Ce", "Ce", "Ce", "Ir", "Ir"],
  "frac_coords": [[0.990, 0.990, 0.979], [0.226, 0.226, 0.877], [0.697, 0.697, 0.388], [0.830, 0.299, 0.130], [0.299, 0.830, 0.130], [0.649, 0.649, 0.875], [0.293, 0.793, 0.587], [0.793, 0.293, 0.587]],
  "space_group": "Cm",
  "dft_energy_ev_per_atom": -6.68
}


Entry 7:
{
  "formula": "MnCdRu2",
  "functional": "GGA-PBE",
  "state": "relaxed",
  "cell": [[9.230, -0.021, -0.013], [8.810, 2.750, -0.013], [8.810, 1.333, 2.406]],
  "species": ["Ru", "Ru", "Mn", "Cd"],
  "frac_coords": [[0.999, 0.999, 0.999], [0.257, 0.257, 0.257], [0.744, 0.744, 0.744], [0.500, 0.500, 0.500]],
  "space_group": "R3m",
  "formation_enthalpy_0k_ev_per_atom": 0.2948
}


Entry 8:
{
  "formula": "SrMg2ZnO4",
  "functional": "GGA-PBE",
  "state": "relaxed",
  "cell": [[5.658, -0.426, -0.614], [-3.098, 4.754, 0.614], [-3.098, -1.088, 4.668]],
  "species": ["O", "O", "O", "O", "Sr", "Zn", "Mg", "Mg"],
  "frac_coords": [[0.437, 0.862, 0.862], [0.563, 0.426, 0.426], [0.000, 0.138, 0.574], [0.000, 0.574, 0.138], [0.000, 0.000, 0.000], [0.000, 0.500, 0.500], [0.500, 0.750, 0.250], [0.500, 0.250, 0.750]],
  "space_group": "I-42m",
  "raw_formation_energy_ev_per_atom": -2.25
}


Entry 9:
{
  "formula": "NaYGa3",
  "functional": "GGA-PBE",
  "state": "relaxed",
  "cell": [[5.571, 0.000, 0.000], [0.000, 5.571, 0.000], [0.000, 0.000, 5.571]],
  "species": ["Ga", "Ga", "Ga", "Y", "Na"],
  "frac_coords": [[0.500, 0.000, 0.000], [0.000, 0.000, 0.500], [0.000, 0.500, 0.000], [0.000, 0.000, 0.000], [0.500, 0.500, 0.500]],
  "space_group": "Pm-3m",
  "formation_enthalpy_0k_ev_per_atom": 0.4197,
  "relative_energy_ev_per_atom": 0.088
}


Entry 10:
{
  "formula": "K4Dy3AlS8",
  "functional": "GGA-PBE",
  "state": "relaxed",
  "cell": [[7.929, 0.000, 0.000], [0.000, 8.652, 0.497], [-3.964, -3.959, 5.612]],
  "species": ["S", "S", "S", "S", "S", "S", "S", "S", "Al", "Dy", "Dy", "Dy", "K", "K", "K", "K"],
  "frac_coords": [[0.265, 0.296, 0.531], [0.780, 0.307, 0.560], [0.246, 0.307, 0.027], [0.219, 0.693, 0.973], [0.781, 0.307, 0.027], [0.220, 0.693, 0.440], [0.735, 0.704, 0.469], [0.754, 0.693, 0.973], [0.000, 0.500, 0.000], [0.500, 0.500, 0.000], [0.000, 0.500, 0.500], [0.500, 0.500, 0.500], [0.500, 0.000, 0.500], [0.500, 0.000, 0.000], [0.000, 0.000, 0.500], [0.000, 0.000, 0.000]],
  "space_group": "R-3m",
  "raw_formation_energy_ev_per_atom": -1.66
}


> Number 10 is which compound?

K4Dy3AlS8


> Which formula does entry 4 have?

Ca3TcSe